1.
Computed, not measured: a relaxed structure of VHgS2 at the PBE-GGA level of DFT.

Cell: 3.6873 3.6873 9.1555 Å, 90.00 90.00 120.00°
Space group P3m1 (No. 156)
Inequivalent atoms, fractional coordinates:
V (0.0000, 0.0000, 0.0000) [1 per cell]
Hg (0.6667, 0.3333, 0.5205) [1 per cell]
S (0.0000, 0.0000, 0.2235) [1 per cell]
S (0.3333, 0.6667, 0.9024) [1 per cell]

Calculated values
Total DFT energy (no corrections) = -4.765 eV/atom
N(E_F) = 0.334 states/eV per atom

***

2.
Computed, not measured: a relaxed structure of TlBRh3 at the PBE-GGA level of DFT.

Cell: 5.117 13.413 5.162 Å, 90.00 90.00 90.00°
Space group Cmcm (No. 63)
Inequivalent atoms, fractional coordinates:
Tl (0.000, 0.082, 0.250) [4 per cell]
B (0.000, 0.377, 0.250) [4 per cell]
Rh (0.000, 0.500, 0.000) [4 per cell]
Rh (0.240, 0.230, 0.750) [8 per cell]

Calculated values
ΔE_f = 0.417 eV per atom
N(E_F) = 0.897 states/eV per atom